# NpSnS

A relaxed NpSnS crystal (PBE, Alexandria via LeMat-Bulk).

Results
formation energy (no corrections)	-0.51	eV per atom
magnetization	3.9	μB per formula unit
DFT total energy	-22.6	eV for the cell shown
DOS at the Fermi energy	2.4085	states/eV/atom

Cell lengths 3.498, 3.498, 6.394 Å; angles 105.87, 105.87, 90.00 degrees
Element x y z (fractional)
1 Np 0.705 0.705 0.409
2 S 0.296 0.296 0.592
3 Sn 0.000 0.000 0.999